Entry 1:
# CsV3O8 | Alexandria | PBE with a Hubbard U | optimized geometry
# total energy: -7.152 eV/atom
# volume: 379.37 Å³/cell
# DOS at the Fermi energy: 0.0 states/eV per cell
# total magnetization: 0.0 μB per formula unit
data_CsV3O8
_chemical_formula_sum 'Cs2 V6 O16'
_cell_length_a 5.148
_cell_length_b 8.752
_cell_length_c 8.500
_cell_angle_alpha 90.00
_cell_angle_beta 97.88
_cell_angle_gamma 90.00
_space_group_name_H-M_alt 'P 1 21/m 1'
_space_group_IT_number 11
loop_
_space_group_symop_operation_xyz
'x,y,z'
'-x,-y,-z'
'-x,y+1/2,-z'
'x,-y+1/2,z'
loop_
_atom_site_label
_atom_site_fract_x
_atom_site_fract_y
_atom_site_fract_z
Cs1 0.070 0.250 0.445
V1 0.081 0.250 0.936
V2 0.440 0.558 0.168
O1 0.089 0.750 0.916
O2 0.115 0.604 0.203
O3 0.327 0.090 0.998
O4 0.421 0.250 0.767
O5 0.435 0.552 0.685


Entry 2:
# CsVO2 | Alexandria | PBE with a Hubbard U | optimized geometry
# total energy: -5.994 eV/atom
# volume: 360.90 Å³/cell
# DOS at the Fermi energy: 0.8 states/eV per cell
# total magnetization: 2.0 μB per formula unit
data_CsVO2
_chemical_formula_sum 'Cs4 V4 O8'
_cell_length_a 3.471
_cell_length_b 16.978
_cell_length_c 6.124
_cell_angle_alpha 90.00
_cell_angle_beta 90.00
_cell_angle_gamma 90.00
_space_group_name_H-M_alt 'C m c m'
_space_group_IT_number 63
_space_group_name_Hall '-C 2c 2'
loop_
_atom_site_label
_atom_site_fract_x
_atom_site_fract_y
_atom_site_fract_z
Cs1 0.000 0.161 0.250
V1 0.000 0.434 0.250
O1 0.000 0.017 0.750
O2 0.000 0.333 0.250


Entry 3:
# CsV4O8 | Alexandria | PBE with a Hubbard U | optimized geometry
# total energy: -7.383 eV/atom
# volume: 448.02 Å³/cell
# DOS at the Fermi energy: 2.5 states/eV per cell
# total magnetization: 5.0 μB per formula unit
data_CsV4O8
_chemical_formula_sum 'Cs2 V8 O16'
_cell_length_a 10.349
_cell_length_b 5.947
_cell_length_c 8.080
_cell_angle_alpha 90.00
_cell_angle_beta 115.72
_cell_angle_gamma 90.00
_space_group_name_H-M_alt 'C 1 2/m 1'
_space_group_IT_number 12
loop_
_space_group_symop_operation_xyz
'x,y,z'
'-x,-y,-z'
'-x,y,-z'
'x,-y,z'
'x+1/2,y+1/2,z'
'-x+1/2,-y+1/2,-z'
'-x+1/2,y+1/2,-z'
'x+1/2,-y+1/2,z'
loop_
_atom_site_label
_atom_site_fract_x
_atom_site_fract_y
_atom_site_fract_z
Cs1 0.000 0.000 0.000
V1 0.000 0.000 0.500
V2 0.000 0.500 0.500
V3 0.250 0.250 0.500
O1 0.032 0.246 0.361
O2 0.206 0.500 0.636
O3 0.218 0.000 0.635


Entry 4:
# CsV2O5 | Alexandria | PBE with a Hubbard U | optimized geometry
# total energy: -6.985 eV/atom
# volume: 171.15 Å³/cell
# DOS at the Fermi energy: 1.2 states/eV per cell
# total magnetization: 1.0 μB per formula unit
data_CsV2O5
_chemical_formula_sum 'Cs1 V2 O5'
_cell_length_a 5.8950
_cell_length_b 5.8950
_cell_length_c 5.6868
_cell_angle_alpha 90.00
_cell_angle_beta 90.00
_cell_angle_gamma 120.00
_space_group_name_H-M_alt 'P 6 m m'
_space_group_IT_number 183
_space_group_name_Hall 'P 6 -2'
loop_
_atom_site_label
_atom_site_fract_x
_atom_site_fract_y
_atom_site_fract_z
Cs1 0.0000 0.0000 0.0000
V1 0.3333 0.6667 0.5260
O1 0.0000 0.5000 0.6406
O2 0.3333 0.6667 0.2356


Entry 5:
# CsV6O12 | Alexandria | PBE with a Hubbard U | optimized geometry
# total energy: -7.171 eV/atom
# volume: 612.89 Å³/cell
# DOS at the Fermi energy: 13.1 states/eV per cell
# total magnetization: 7.0 μB per formula unit
data_CsV6O12
_chemical_formula_sum 'Cs3 V18 O36'
_cell_length_a 9.7350
_cell_length_b 9.7350
_cell_length_c 7.4676
_cell_angle_alpha 90.00
_cell_angle_beta 90.00
_cell_angle_gamma 120.00
_space_group_name_H-M_alt 'R -3 m'
_space_group_IT_number 166
_space_group_name_Hall '-R 3 2"'
loop_
_atom_site_label
_atom_site_fract_x
_atom_site_fract_y
_atom_site_fract_z
Cs1 0.0000 0.0000 0.0000
V1 0.0786 0.5393 0.2982
O1 0.0000 0.3769 0.5000
O2 0.0915 0.1830 0.3726


Entry 6:
# CsVO | Alexandria | PBE with a Hubbard U | optimized geometry
# total energy: -5.154 eV/atom
# volume: 367.02 Å³/cell
# DOS at the Fermi energy: 1.6 states/eV per cell
# total magnetization: 2.1 μB per formula unit
data_CsVO
_chemical_formula_sum 'Cs3 V3 O3'
_cell_length_a 7.6725
_cell_length_b 7.6725
_cell_length_c 7.1992
_cell_angle_alpha 90.00
_cell_angle_beta 90.00
_cell_angle_gamma 120.00
_space_group_name_H-M_alt 'P 32'
_space_group_IT_number 145
loop_
_space_group_symop_operation_xyz
'x,y,z'
'-y,x-y,z+2/3'
'-x+y,-x,z+1/3'
loop_
_atom_site_label
_atom_site_fract_x
_atom_site_fract_y
_atom_site_fract_z
Cs1 0.0002 0.5973 0.0000
V1 0.0012 0.8648 0.5010
O1 0.2143 0.0031 0.3351